(1)
{
  "formula": "Er2Al3Cu",
  "functional": "meta-GGA SCAN",
  "state": "single point on PBEsol structure",
  "lattice_angstrom": [[-2.9714, 4.3252, 0.8414], [-1.7842, 0.9091, 4.9229], [2.1293, 4.0210, 2.7462]],
  "species": ["Er", "Al", "Al", "Cu", "Al", "Er"],
  "frac_coords": [[0.6238, 0.6238, 0.6238], [0.0000, 0.5000, 0.0000], [0.0000, 0.0000, 0.5000], [0.0000, 0.0000, 0.0000], [0.5000, 0.0000, 0.0000], [0.3762, 0.3762, 0.3762]],
  "m_tot_mub_per_cell": 0.00,
  "formation_energy_ev_per_atom": -0.52,
  "rho_g_cm3": 7.21,
  "vol_a3_per_atom": 18.38
}

(2)
{
  "formula": "NaLi3Sb",
  "functional": "meta-GGA SCAN",
  "state": "single point on PBEsol structure",
  "lattice_angstrom": [[5.2033, 0.0000, 0.0000], [0.0000, 5.2033, 0.0000], [0.0000, 0.0000, 5.2033]],
  "species": ["Li", "Sb", "Li", "Li", "Na"],
  "frac_coords": [[0.5000, 0.0000, 0.0000], [0.0000, 0.0000, 0.0000], [0.0000, 0.0000, 0.5000], [0.0000, 0.5000, 0.0000], [0.5000, 0.5000, 0.5000]],
  "m_tot_mub_per_cell": 0.00,
  "rho_g_cm3": 1.95,
  "vol_a3_per_atom": 28.18,
  "raw_formation_energy_ev_per_atom": -0.29
}

(3)
{
  "formula": "CaTl2Pt",
  "functional": "meta-GGA SCAN",
  "state": "single point on PBEsol structure",
  "lattice_angstrom": [[4.3764, 0.0000, 0.0000], [0.0000, 4.3764, 0.0000], [0.0000, 0.0000, 4.6732]],
  "species": ["Pt", "Tl", "Ca", "Tl"],
  "frac_coords": [[0.0000, 0.0000, 0.5000], [0.5000, 0.0000, 0.0000], [0.5000, 0.5000, 0.5000], [0.0000, 0.5000, 0.0000]],
  "m_tot_mub_per_cell": 0.00,
  "formation_energy_ev_per_atom": -0.35,
  "rho_g_cm3": 11.95,
  "vol_a3_per_atom": 22.38
}

(4)
{
  "formula": "Mg2MnWO6",
  "functional": "meta-GGA SCAN",
  "state": "single point on PBEsol structure",
  "lattice_angstrom": [[-1.1267, -3.5843, 3.4632], [-2.8201, -2.6394, -3.6491], [6.2912, -3.9604, -1.9975]],
  "species": ["O", "O", "Mn", "Mg", "O", "O", "Mg", "W", "O", "O", "Mn", "O", "Mg", "W", "O", "Mg", "O", "O", "O", "O"],
  "frac_coords": [[0.6836, 0.6773, 0.4484], [0.3164, 0.3227, 0.5516], [0.5000, 0.0000, 0.5000], [0.5083, 0.4495, 0.2672], [0.8325, 0.1992, 0.4088], [0.6329, 0.9143, 0.7694], [0.0083, 0.0505, 0.7672], [0.0000, 0.5000, 0.5000], [0.3325, 0.3008, 0.9088], [0.1836, 0.8227, 0.9484], [0.0000, 0.5000, 0.0000], [0.8164, 0.1773, 0.0516], [0.4917, 0.5505, 0.7328], [0.5000, 0.0000, 0.0000], [0.8671, 0.4143, 0.7306], [0.9917, 0.9495, 0.2328], [0.6675, 0.6992, 0.0912], [0.1675, 0.8008, 0.5912], [0.3671, 0.0857, 0.2306], [0.1329, 0.5857, 0.2694]],
  "m_tot_mub_per_cell": 10.00,
  "rho_g_cm3": 6.09,
  "vol_a3_per_atom": 10.45,
  "raw_formation_energy_ev_per_atom": -2.51
}

(5)
{
  "formula": "YBe3Rh",
  "functional": "meta-GGA SCAN",
  "state": "single point on PBEsol structure",
  "lattice_angstrom": [[-3.7008, 0.3078, -2.4333], [1.0121, -3.8206, -2.0225], [-2.2342, -2.2405, 3.1145]],
  "species": ["Y", "Be", "Rh", "Be", "Be"],
  "frac_coords": [[0.0000, 0.0000, 0.0000], [0.0000, 0.0000, 0.5000], [0.5000, 0.5000, 0.5000], [0.0000, 0.5000, 0.0000], [0.5000, 0.0000, 0.0000]],
  "m_tot_mub_per_cell": 1.59,
  "formation_energy_ev_per_atom": 2.29,
  "rho_g_cm3": 4.15,
  "vol_a3_per_atom": 17.50
}

(6)
{
  "formula": "CaAl2Ir",
  "functional": "meta-GGA SCAN",
  "state": "single point on PBEsol structure",
  "lattice_angstrom": [[-1.0515, -0.0571, -2.7912], [-0.2083, -4.2117, 0.1647], [-4.8135, 0.3697, 3.3669]],
  "species": ["Ir", "Al", "Al", "Ca"],
  "frac_coords": [[0.0000, 0.5000, 0.5000], [0.1666, 0.0000, 0.2986], [0.8334, 0.0000, 0.7014], [0.5000, 0.5000, 0.0000]],
  "m_tot_mub_per_cell": 0.00,
  "formation_energy_ev_per_atom": -0.42,
  "rho_g_cm3": 6.62,
  "vol_a3_per_atom": 17.95
}

(7)
{
  "formula": "CsZnO2",
  "functional": "meta-GGA SCAN",
  "state": "single point on PBEsol structure",
  "lattice_angstrom": [[-3.0908, -3.5423, 2.2365], [3.9559, -3.3825, 0.1095], [1.0134, 5.3131, 3.7564]],
  "species": ["O", "Cs", "Cs", "Zn", "O", "O", "O", "Zn"],
  "frac_coords": [[0.6250, 0.3750, 0.7500], [0.0000, 0.0000, 0.0000], [0.2500, 0.7500, 0.5000], [0.7500, 0.2500, 0.5000], [0.6250, 0.8750, 0.2500], [0.1250, 0.3750, 0.7500], [0.6250, 0.3750, 0.2500], [0.5000, 0.5000, 0.0000]],
  "m_tot_mub_per_cell": 0.00,
  "rho_g_cm3": 5.17,
  "vol_a3_per_atom": 18.50,
  "raw_formation_energy_ev_per_atom": -1.17
}

(8)
{
  "formula": "TaTlSe",
  "functional": "meta-GGA SCAN",
  "state": "single point on PBEsol structure",
  "lattice_angstrom": [[4.7554, 0.0000, 0.0000], [2.3777, 4.1183, 0.0000], [2.3777, 1.3728, 3.8828]],
  "species": ["Se", "Tl", "Ta"],
  "frac_coords": [[0.0000, 0.0000, 0.0000], [0.2500, 0.2500, 0.2500], [0.5000, 0.5000, 0.5000]],
  "m_tot_mub_per_cell": 2.68,
  "rho_g_cm3": 10.14,
  "vol_a3_per_atom": 25.35,
  "raw_formation_energy_ev_per_atom": 1.41
}

(9)
{
  "formula": "Ag3SbS3",
  "functional": "meta-GGA SCAN",
  "state": "single point on PBEsol structure",
  "lattice_angstrom": [[-5.2309, -3.1522, 3.0624], [5.3699, -3.2384, 2.7119], [0.1577, 5.9809, 3.2987]],
  "species": ["Ag", "Sb", "S", "Sb", "S", "S", "Ag", "Ag", "Ag", "S", "S", "S", "Ag", "Ag"],
  "frac_coords": [[0.9409, 0.6272, 0.4131], [0.3370, 0.3370, 0.3370], [0.7565, 0.1129, 0.0875], [0.8370, 0.8370, 0.8370], [0.2565, 0.5875, 0.6129], [0.1129, 0.0875, 0.7565], [0.9131, 0.1272, 0.4409], [0.4409, 0.9131, 0.1272], [0.1272, 0.4409, 0.9131], [0.0875, 0.7565, 0.1129], [0.6129, 0.2565, 0.5875], [0.5875, 0.6129, 0.2565], [0.4131, 0.9409, 0.6272], [0.6272, 0.4131, 0.9409]],
  "m_tot_mub_per_cell": 0.00,
  "rho_g_cm3": 6.09,
  "vol_a3_per_atom": 21.08,
  "raw_formation_energy_ev_per_atom": -0.16
}

(10)
{
  "formula": "ZnSn3Rh",
  "functional": "meta-GGA SCAN",
  "state": "single point on PBEsol structure",
  "lattice_angstrom": [[4.9602, 0.0000, 0.0000], [0.0000, 4.9602, 0.0000], [0.0000, 0.0000, 4.9602]],
  "species": ["Sn", "Zn", "Sn", "Rh", "Sn"],
  "frac_coords": [[0.5000, 0.0000, 0.0000], [0.0000, 0.0000, 0.0000], [0.0000, 0.5000, 0.0000], [0.5000, 0.5000, 0.5000], [0.0000, 0.0000, 0.5000]],
  "m_tot_mub_per_cell": 0.00,
  "formation_energy_ev_per_atom": 0.90,
  "rho_g_cm3": 7.14,
  "vol_a3_per_atom": 24.41
}

(11)
{
  "formula": "CsBPd3",
  "functional": "meta-GGA SCAN",
  "state": "single point on PBEsol structure",
  "lattice_angstrom": [[-2.7852, 1.3919, 4.0674], [3.4372, -2.1898, 3.1030], [2.5820, 4.4165, 0.2567]],
  "species": ["Pd", "Pd", "Pd", "B", "Cs"],
  "frac_coords": [[0.0000, 0.5000, 0.0000], [0.0000, 0.0000, 0.5000], [0.5000, 0.0000, 0.0000], [0.5000, 0.5000, 0.5000], [0.0000, 0.0000, 0.0000]],
  "m_tot_mub_per_cell": 0.00,
  "formation_energy_ev_per_atom": 2.38,
  "rho_g_cm3": 5.72,
  "vol_a3_per_atom": 26.88
}

(12)
{
  "formula": "OsRh3Cl",
  "functional": "meta-GGA SCAN",
  "state": "single point on PBEsol structure",
  "lattice_angstrom": [[-3.4167, 1.0558, 2.9880], [0.5196, -4.1478, 2.0598], [3.1262, 1.8433, 2.9234]],
  "species": ["Rh", "Cl", "Os", "Rh", "Rh"],
  "frac_coords": [[0.0000, 0.5000, 0.0000], [0.5000, 0.5000, 0.5000], [0.0000, 0.0000, 0.0000], [0.0000, 0.0000, 0.5000], [0.5000, 0.0000, 0.0000]],
  "m_tot_mub_per_cell": 0.00,
  "rho_g_cm3": 8.77,
  "vol_a3_per_atom": 20.24,
  "raw_formation_energy_ev_per_atom": 1.39
}